Material: Rb2In3Bi5
Method: DFT, PBE
State: relaxed

Results
The calculation puts the final energy at -3.11 eV/atom. The magnetization comes out at 0.0000 μB per atom. The value obtained for the energy of formation from the pure elements is -0.155 eV/atom. Its symmetry is No. 72.

abc: 10.868 10.868 10.868
angles: 109.97 84.53 138.92
Fractional positions:
Rb (0.130, 0.238, 0.368)
Rb (0.370, 0.738, 0.108)
Rb (0.630, 0.262, 0.892)
Rb (0.870, 0.762, 0.632)
In (0.115, 0.639, 0.754)
In (0.250, 0.250, 0.000)
In (0.385, 0.139, 0.524)
In (0.615, 0.861, 0.476)
In (0.750, 0.750, 0.000)
In (0.885, 0.361, 0.246)
Bi (0.026, 0.750, 0.276)
Bi (0.124, 0.885, 0.009)
Bi (0.250, 0.750, 0.500)
Bi (0.376, 0.385, 0.761)
Bi (0.474, 0.750, 0.724)
Bi (0.526, 0.250, 0.276)
Bi (0.624, 0.615, 0.239)
Bi (0.750, 0.250, 0.500)
Bi (0.876, 0.115, 0.991)
Bi (0.974, 0.250, 0.724)